# Li3CaGe3 (PBE-GGA, optimized geometry)
# V ... 22.6 Å³ per atom
# Uncorrected energy ... -48.6 eV for the cell shown
# Energy of formation ... -387 meV per atom
# ΔE to the lowest computed polymorph ... 0.000 eV per atom
data_Li3CaGe3
_cell_length_a 9.679
_cell_length_b 9.679
_cell_length_c 3.897
_cell_angle_alpha 90.00
_cell_angle_beta 90.00
_cell_angle_gamma 120.00
_space_group_name_H-M_alt 'P 1'
_space_group_IT_number 1
loop_
_space_group_symop_operation_xyz
'x,y,z'
loop_
_atom_site_label
_atom_site_type_symbol
_atom_site_fract_x
_atom_site_fract_y
_atom_site_fract_z
Li1 Li 0.094 0.333 0.250
Li2 Li 0.239 0.906 0.250
Li3 Li 0.333 0.239 0.750
Li4 Li 0.667 0.761 0.250
Li5 Li 0.761 0.094 0.750
Li6 Li 0.906 0.667 0.750
Ca1 Ca 0.333 0.667 0.750
Ca2 Ca 0.667 0.333 0.250
Ge1 Ge 0.052 0.595 0.250
Ge2 Ge 0.405 0.457 0.250
Ge3 Ge 0.457 0.052 0.750
Ge4 Ge 0.543 0.948 0.250
Ge5 Ge 0.595 0.543 0.750
Ge6 Ge 0.948 0.405 0.750